The following is a PBE calculation of a geometry-optimized Y2ZrAl structure, from Alexandria.

Cell lengths 6.6357, 6.6357, 6.6357 Å; angles 102.33, 102.33, 124.97 degrees
Sites, in units of the cell vectors:
Y: 0.0986 0.6250 0.9736
Y: 0.3750 0.3486 0.4736
Y: 0.6514 0.1250 0.0264
Y: 0.8750 0.9014 0.5264
Zr: 0.2500 0.7500 0.5000
Zr: 0.5000 0.5000 0.0000
Al: 0.0000 0.0000 0.0000
Al: 0.7500 0.2500 0.5000

Output
The calculation puts the volume at 106.2 Å³/f.u. For the calculated density, the calculation gives 4.6 g cm⁻³. The total magnetization is 1.0 μB/f.u. The calculation puts the total DFT energy (no corrections) at -6.028 eV/atom.